The following is a DFT calculation (PBE) of a geometry-optimized Cr3Cl structure.

Its energy above the most stable polymorph in this dataset is 974 meV/atom. The calculation puts the density of states at the Fermi level at 1.72 states/eV per atom.

The space group is Pm-3m (No. 221) and the conventional cell measures 3.6999, 3.6999 and 3.6999 Å, with angles of 90.00, 90.00 and 90.00 degrees. The distinct sites, in fractional coordinates, are Cr at (0.0000, 0.0000, 0.5000) and Cl at (0.5000, 0.5000, 0.5000).

The following is a DFT calculation (PBE) of a geometry-optimized CrCl3 structure.

The total energy comes out at -222.18 eV/cell. The calculation puts the density of states at the Fermi level at 0.67 states/eV per atom.

The space group is C2/m (No. 12) and the conventional cell measures 11.4992, 20.5110 and 7.8928 Å, with angles of 90.00, 131.62 and 90.00 degrees. The distinct sites, in fractional coordinates, are Cr at (0.0000, 0.0000, 0.0000), Cr at (0.0000, 0.0822, 0.5000), Cr at (0.0000, 0.3478, 0.0000), Cr at (0.0000, 0.5000, 0.5000), Cl at (0.0366, 0.2964, 0.8017), Cl at (0.0500, 0.5000, 0.8273), Cl at (0.0515, 0.0859, 0.8499), Cl at (0.1791, 0.0000, 0.6491), Cl at (0.2193, 0.1546, 0.6691) and Cl at (0.2491, 0.0000, 0.3357).

The following is a DFT calculation (PBE) of a geometry-optimized Cr3Cl structure.

Its energy above the most stable polymorph in this dataset is 198 meV/atom. The calculation puts the density of states at the Fermi level at 0.82 states/eV per atom.

The space group is P-6m2 (No. 187) and the conventional cell measures 2.9937, 2.9937 and 7.6778 Å, with angles of 90.00, 90.00 and 120.00 degrees. The distinct sites, in fractional coordinates, are Cr at (0.0000, 0.0000, 0.0000), Cr at (0.6667, 0.3333, 0.2333) and Cl at (0.0000, 0.0000, 0.5000).

The following is a DFT calculation (PBE) of a geometry-optimized CrCl3 structure.

The total energy comes out at -38.29 eV/cell. The calculation puts the density of states at the Fermi level at 0.46 states/eV per atom.

The space group is Pmmn (No. 59, origin choice 2) and the conventional cell measures 4.7509, 12.6297 and 3.4471 Å, with angles of 90.00, 90.00 and 90.00 degrees. The distinct sites, in fractional coordinates, are Cr at (0.2500, 0.2500, 0.1487), Cl at (0.2500, 0.1223, 0.6492) and Cl at (0.2500, 0.7500, 0.8516).

The following is a DFT calculation (PBE) of a geometry-optimized Cr7Cl structure.

The total energy comes out at -253.13 eV/cell. The calculation puts the density of states at the Fermi level at 1.55 states/eV per atom.

The space group is Fm-3m (No. 225) and the conventional cell measures 7.2923, 7.2923 and 7.2923 Å, with angles of 90.00, 90.00 and 90.00 degrees. The distinct sites, in fractional coordinates, are Cr at (0.0000, 0.0000, 0.0000), Cr at (0.0000, 0.2500, 0.2500) and Cl at (0.0000, 0.0000, 0.5000).

The following is a DFT calculation (PBE) of a geometry-optimized CrCl4 structure.

The total energy comes out at -35.71 eV/cell. The calculation puts the density of states at the Fermi level at 0.99 states/eV per atom.

The space group is Im-3m (No. 229) and the conventional cell measures 6.0320, 6.0320 and 6.0320 Å, with angles of 90.00, 90.00 and 90.00 degrees. The distinct sites, in fractional coordinates, are Cr at (0.0000, 0.0000, 0.0000) and Cl at (0.2500, 0.2500, 0.2500).

The following is a DFT calculation (PBE) of a geometry-optimized CrCl6 structure.

The total energy comes out at -97.14 eV/cell. The calculation puts the density of states at the Fermi level at 0.82 states/eV per atom.

The space group is Pnma (No. 62) and the conventional cell measures 10.3386, 10.1173 and 8.0309 Å, with angles of 90.00, 90.00 and 90.00 degrees. The distinct sites, in fractional coordinates, are Cr at (0.1963, 0.2500, 0.0024), Cl at (0.0099, 0.6196, 0.0002), Cl at (0.1621, 0.2500, 0.2715), Cl at (0.1662, 0.2500, 0.7325) and Cl at (0.1741, 0.5851, 0.5040).

The following is a DFT calculation (PBE) of a geometry-optimized CrCl3 structure.

The total energy comes out at -78.59 eV/cell. The calculation puts the density of states at the Fermi level at 0.00 states/eV per atom.

The space group is C2/m (No. 12) and the conventional cell measures 6.0584, 10.4939 and 6.7274 Å, with angles of 90.00, 106.84 and 90.00 degrees. The distinct sites, in fractional coordinates, are Cr at (0.0000, 0.1666, 0.0000), Cl at (0.2069, 0.0000, 0.2078) and Cl at (0.2465, 0.3201, 0.2074).

The following is a DFT calculation (PBE) of a geometry-optimized CrCl structure.

The total energy comes out at -89.28 eV/cell. The calculation puts the density of states at the Fermi level at 0.83 states/eV per atom.

The space group is I-43m (No. 217) and the conventional cell measures 7.3435, 7.3435 and 7.3435 Å, with angles of 90.00, 90.00 and 90.00 degrees. The distinct sites, in fractional coordinates, are Cr at (0.1062, 0.1062, 0.8938) and Cl at (0.2056, 0.2056, 0.2056).

The following is a DFT calculation (PBE) of a geometry-optimized CrCl4 structure.

The total energy comes out at -38.21 eV/cell. The calculation puts the density of states at the Fermi level at 0.56 states/eV per atom.

The space group is I4/m (No. 87) and the conventional cell measures 9.3585, 9.3585 and 3.0192 Å, with angles of 90.00, 90.00 and 90.00 degrees. The distinct sites, in fractional coordinates, are Cr at (0.0000, 0.0000, 0.0000) and Cl at (0.0395, 0.2105, 0.5000).

The following is a DFT calculation (PBE) of a geometry-optimized CrCl structure.

The total energy comes out at -23.10 eV/cell. The calculation puts the density of states at the Fermi level at 0.24 states/eV per atom.

The space group is P2_1/m (No. 11) and the conventional cell measures 3.7643, 3.0725 and 7.0644 Å, with angles of 90.00, 103.18 and 90.00 degrees. The distinct sites, in fractional coordinates, are Cr at (0.2026, 0.2500, 0.0279) and Cl at (0.3734, 0.2500, 0.7374).

The following is a DFT calculation (PBE) of a geometry-optimized Cr2Cl structure.

Its energy above the most stable polymorph in this dataset is 1174 meV/atom. The calculation puts the density of states at the Fermi level at 0.86 states/eV per atom.

The space group is Fm-3m (No. 225) and the conventional cell measures 5.5190, 5.5190 and 5.5190 Å, with angles of 90.00, 90.00 and 90.00 degrees. The distinct sites, in fractional coordinates, are Cr at (0.2500, 0.2500, 0.2500) and Cl at (0.0000, 0.0000, 0.0000).

The following is a DFT calculation (PBE) of a geometry-optimized Cr3Cl structure.

Its energy above the most stable polymorph in this dataset is 431 meV/atom. The calculation puts the density of states at the Fermi level at 0.59 states/eV per atom.

The space group is Cmcm (No. 63) and the conventional cell measures 8.1532, 7.1868 and 4.0827 Å, with angles of 90.00, 90.00 and 90.00 degrees. The distinct sites, in fractional coordinates, are Cr at (0.0000, 0.1825, 0.2500), Cr at (0.1511, 0.0887, 0.7500) and Cl at (0.0000, 0.3602, 0.7500).

The following is a DFT calculation (PBE) of a geometry-optimized Cr2Cl structure.

Its energy above the most stable polymorph in this dataset is 309 meV/atom. The calculation puts the density of states at the Fermi level at 0.58 states/eV per atom.

The space group is P-3m1 (No. 164) and the conventional cell measures 2.9915, 2.9915 and 5.5202 Å, with angles of 90.00, 90.00 and 120.00 degrees. The distinct sites, in fractional coordinates, are Cr at (0.3333, 0.6667, 0.3710) and Cl at (0.0000, 0.0000, 0.0000).

The following is a DFT calculation (PBE) of a geometry-optimized Cs3Cr2Cl8 structure.

The total energy comes out at -165.49 eV/cell. The calculation puts the density of states at the Fermi level at 0.80 states/eV per atom.

The space group is R-3m (No. 166, hexagonal axes) and the conventional cell measures 7.2952, 7.2952 and 29.4778 Å, with angles of 90.00, 90.00 and 120.00 degrees. The distinct sites, in fractional coordinates, are Cs at (0.0000, 0.0000, 0.0000), Cs at (0.0000, 0.0000, 0.2063), Cr at (0.0000, 0.0000, 0.4026), Cl at (0.0000, 0.0000, 0.3246) and Cl at (0.0056, 0.5028, 0.2319).

The following is a DFT calculation (PBE) of a geometry-optimized Cs2CrCl4 structure.

The total energy comes out at -59.63 eV/cell. The calculation puts the density of states at the Fermi level at 0.02 states/eV per atom.

The space group is I4/mmm (No. 139) and the conventional cell measures 5.1573, 5.1573 and 16.9084 Å, with angles of 90.00, 90.00 and 90.00 degrees. The distinct sites, in fractional coordinates, are Cs at (0.0000, 0.0000, 0.1424), Cr at (0.0000, 0.0000, 0.5000), Cl at (0.0000, 0.0000, 0.3548) and Cl at (0.0000, 0.5000, 0.0000).

The following is a DFT calculation (PBE) of a geometry-optimized Cs2CrCl7 structure.

The total energy comes out at -71.76 eV/cell. The calculation puts the density of states at the Fermi level at 3.94 states/eV per atom.

The space group is I4/mmm (No. 139) and the conventional cell measures 7.5442, 7.5442 and 11.3589 Å, with angles of 90.00, 90.00 and 90.00 degrees. The distinct sites, in fractional coordinates, are Cs at (0.0000, 0.5000, 0.2500), Cr at (0.0000, 0.0000, 0.0000), Cl at (0.0000, 0.0000, 0.2021), Cl at (0.0000, 0.0000, 0.5000) and Cl at (0.2167, 0.2167, 0.0000).

The following is a DFT calculation (PBE) of a geometry-optimized Cs3CrCl4 structure.

The total energy comes out at -62.13 eV/cell. The calculation puts the density of states at the Fermi level at 0.06 states/eV per atom.

The space group is I-43m (No. 217) and the conventional cell measures 8.3282, 8.3282 and 8.3282 Å, with angles of 90.00, 90.00 and 90.00 degrees. The distinct sites, in fractional coordinates, are Cs at (0.0000, 0.0000, 0.5000), Cr at (0.0000, 0.0000, 0.0000) and Cl at (0.1770, 0.1770, 0.8230).

The following is a DFT calculation (PBE) of a geometry-optimized CsCrCl4 structure.

The total energy comes out at -104.32 eV/cell.

The space group is C2/m (No. 12) and the conventional cell measures 12.4677, 7.3382 and 9.2904 Å, with angles of 90.00, 105.10 and 90.00 degrees. The distinct sites, in fractional coordinates, are Cs at (0.1358, 0.0000, 0.3375), Cr at (0.0407, 0.5000, 0.8266), Cl at (0.0000, 0.2854, 0.0000), Cl at (0.1223, 0.2741, 0.7282) and Cl at (0.1294, 0.5000, 0.3275).

The following is a DFT calculation (PBE) of a geometry-optimized CsCrCl6 structure.

Its energy above the most stable polymorph in this dataset is 60 meV/atom. The calculation puts the density of states at the Fermi level at 2.51 states/eV per atom.

The space group is Fm-3m (No. 225) and the conventional cell measures 11.5308, 11.5308 and 11.5308 Å, with angles of 90.00, 90.00 and 90.00 degrees. The distinct sites, in fractional coordinates, are Cs at (0.0000, 0.0000, 0.0000), Cr at (0.0000, 0.0000, 0.5000) and Cl at (0.0000, 0.0000, 0.3042).

The following is a DFT calculation (PBE) of a geometry-optimized Cs3CrCl7 structure.

The total energy comes out at -83.67 eV/cell. The calculation puts the density of states at the Fermi level at 1.43 states/eV per atom.

The space group is P4/mbm (No. 127) and the conventional cell measures 10.1166, 10.1166 and 7.2749 Å, with angles of 90.00, 90.00 and 90.00 degrees. The distinct sites, in fractional coordinates, are Cs at (0.0000, 0.0000, 0.0000), Cs at (0.1801, 0.3199, 0.5000), Cr at (0.0000, 0.5000, 0.0000), Cl at (0.0000, 0.0000, 0.5000), Cl at (0.1137, 0.6137, 0.2248) and Cl at (0.1617, 0.3383, 0.0000).

The following is a DFT calculation (PBE) of a geometry-optimized Cs3CrCl5 structure.

The total energy comes out at -143.59 eV/cell. The calculation puts the density of states at the Fermi level at 0.87 states/eV per atom.

The space group is I4/mcm (No. 140) and the conventional cell measures 9.3555, 9.3555 and 15.3646 Å, with angles of 90.00, 90.00 and 90.00 degrees. The distinct sites, in fractional coordinates, are Cs at (0.0000, 0.0000, 0.2500), Cs at (0.1674, 0.3326, 0.0000), Cr at (0.0000, 0.5000, 0.2500), Cl at (0.0000, 0.0000, 0.0000) and Cl at (0.1360, 0.3640, 0.3481).

Number 1: total magnetic moment 3.8 μB/f.u.. Number 2: total magnetic moment 3.0 μB/f.u.. Number 3: total magnetic moment 4.1 μB/f.u.. Number 4: total magnetic moment 3.0 μB/f.u.. Number 5: total magnetic moment 0.0 μB/f.u.. Number 6: total magnetic moment 2.9 μB/f.u.. Number 7: total magnetic moment 1.0 μB/f.u.. Number 8: total magnetic moment 3.0 μB/f.u.. Number 9: total magnetic moment 0.5 μB/f.u.. Number 10: total magnetic moment 2.0 μB/f.u.. Number 11: total magnetic moment 0.0 μB/f.u.. Number 12: total magnetic moment 4.3 μB/f.u.. Number 13: total magnetic moment 0.0 μB/f.u.. Number 14: total magnetic moment 0.0 μB/f.u.. Number 15: total magnetic moment 7.0 μB/f.u.. Number 16: total magnetic moment 4.0 μB/f.u.. Number 17: total magnetic moment 3.0 μB/f.u.. Number 18: total magnetic moment 5.0 μB/f.u.. Number 19: total magnetic moment 3.0 μB/f.u.. Number 20: total magnetic moment 0.8 μB/f.u.. Number 21: total magnetic moment 1.9 μB/f.u.. Number 22: total magnetic moment 4.0 μB/f.u..